# 1
# CdInFeRe (GGA-PBE, optimized geometry)
# E_tot: -5.3816 eV per atom
data_CdInFeRe
_cell_length_a 6.4451
_cell_length_b 6.4451
_cell_length_c 6.4451
_cell_angle_alpha 90.00
_cell_angle_beta 90.00
_cell_angle_gamma 90.00
_space_group_name_H-M_alt 'F -4 3 m'
_space_group_IT_number 216
_space_group_name_Hall 'F -4 2 3'
loop_
_atom_site_label
_atom_site_type_symbol
_atom_site_fract_x
_atom_site_fract_y
_atom_site_fract_z
Cd1 Cd 0.0000 0.0000 0.0000
In1 In 0.2500 0.2500 0.2500
Fe1 Fe 0.0000 0.0000 0.5000
Re1 Re 0.2500 0.2500 0.7500

=====

# 2
# Rb4TcO5 (GGA-PBE, optimized geometry)
# E_tot: -5.3745 eV per atom
data_Rb4TcO5
_cell_length_a 8.2576
_cell_length_b 8.2576
_cell_length_c 5.7554
_cell_angle_alpha 90.00
_cell_angle_beta 90.00
_cell_angle_gamma 90.00
_space_group_name_H-M_alt 'I 4'
_space_group_IT_number 79
loop_
_space_group_symop_operation_xyz
'x,y,z'
'-y,x,z'
'-x,-y,z'
'y,-x,z'
'x+1/2,y+1/2,z+1/2'
'-y+1/2,x+1/2,z+1/2'
'-x+1/2,-y+1/2,z+1/2'
'y+1/2,-x+1/2,z+1/2'
loop_
_atom_site_label
_atom_site_type_symbol
_atom_site_fract_x
_atom_site_fract_y
_atom_site_fract_z
Rb1 Rb 0.0961 0.6975 0.0000
Tc1 Tc 0.0000 0.0000 0.5537
O1 O 0.0000 0.0000 0.8625
O2 O 0.0719 0.7872 0.4689

=====

# 3
# NaCd (GGA-PBE, optimized geometry)
# E_tot: -0.9998 eV per atom
data_NaCd
_cell_length_a 6.2159
_cell_length_b 6.2159
_cell_length_c 6.2159
_cell_angle_alpha 90.00
_cell_angle_beta 90.00
_cell_angle_gamma 90.00
_space_group_name_H-M_alt 'F m -3 m'
_space_group_IT_number 225
_space_group_name_Hall '-F 4 2 3'
loop_
_atom_site_label
_atom_site_type_symbol
_atom_site_fract_x
_atom_site_fract_y
_atom_site_fract_z
Na1 Na 0.0000 0.0000 0.0000
Cd1 Cd 0.0000 0.0000 0.5000